Crystalline TcNiO2 at its relaxed geometry, computed with PBE+U.

```
data_TcNiO2
_chemical_formula_sum 'Tc4 Ni4 O8'
_symmetry_space_group_name_H-M 'F m -3 m'
_symmetry_Int_Tables_number 225
_symmetry_space_group_name_Hall '-F 4 2 3'
_cell_length_a 5.273
_cell_length_b 5.273
_cell_length_c 5.273
_cell_angle_alpha 90.00
_cell_angle_beta 90.00
_cell_angle_gamma 90.00
loop_
_atom_site_label
_atom_site_fract_x
_atom_site_fract_y
_atom_site_fract_z
_atom_site_occupancy
Tc1 0.000 0.000 0.000 1
Ni1 0.000 0.000 0.500 1
O1 0.250 0.250 0.250 1
```

Output
E above lowest polymorph ... 1057 meV per atom
Final energy ... -5.549 eV/atom